(1)
Nb3Ru2Rh2 | Alexandria | PBE-GGA | optimized geometry; SG = P-1, No. 2; DFT total energy = -9.183 eV/atom; volume = 120 Å³ per cell; ΔE_f = -117 meV per atom; total magnetization = 0.00 μB per atom
1.0
-3.106 -2.020 -2.263
4.198 -0.791 -0.881
0.696 -3.876 6.611
Ru Nb Rh
2 3 2
Direct
0.247 0.625 0.870
0.753 0.375 0.130
0.508 0.752 0.264
0.492 0.248 0.736
0.000 0.000 0.000
0.254 0.126 0.382
0.746 0.874 0.618

***

(2)
Nb4Ru5Rh2 | Alexandria | PBE-GGA | optimized geometry; SG = Fmmm, No. 69; DFT total energy = -8.677 eV/atom; volume = 198 Å³ per cell; ΔE_f = 538 meV per atom; total magnetization = 0.00 μB per atom
1.0
5.126 0.000 1.892
2.563 4.064 0.946
-0.522 0.000 9.307
Nb Ru Rh
4 5 2
Direct
0.548 0.644 0.260
0.452 0.356 0.740
0.192 0.356 0.260
0.808 0.644 0.740
0.750 0.500 0.500
0.250 0.500 0.500
0.500 0.000 0.000
0.000 0.500 0.000
0.500 0.500 0.000
0.825 0.000 0.351
0.175 0.000 0.649

***

(3)
Nb2RuRh7 | Alexandria | PBE-GGA | optimized geometry; SG = Cmmm, No. 65; DFT total energy = -7.776 eV/atom; volume = 170 Å³ per cell; ΔE_f = 312 meV per atom; total magnetization = 0.00 μB per atom
1.0
2.754 0.000 0.000
0.000 8.578 -0.547
0.000 -4.275 7.456
Rh Ru Nb
7 1 2
Direct
0.000 0.820 0.180
0.500 0.135 0.318
0.500 0.682 0.865
0.500 0.865 0.682
0.000 0.180 0.820
0.500 0.318 0.135
0.500 0.500 0.500
0.000 0.000 0.000
0.500 0.676 0.324
0.500 0.324 0.676

***

(4)
Nb3Ru3Rh | Alexandria | PBE-GGA | optimized geometry; SG = Cmmm, No. 65; DFT total energy = -9.395 eV/atom; volume = 231 Å³ per cell; ΔE_f = -53 meV per atom; total magnetization = 0.00 μB per atom
1.0
6.326 -0.144 0.000
-0.130 6.326 0.000
-0.002 -0.002 5.787
Ru Rh Nb
6 2 6
Direct
0.500 0.000 0.755
0.000 0.000 0.228
0.000 0.000 0.772
0.000 0.500 0.245
0.500 0.000 0.245
0.000 0.500 0.755
0.263 0.263 0.000
0.737 0.737 0.000
0.780 0.220 0.500
0.220 0.780 0.500
0.668 0.332 0.000
0.332 0.668 0.000
0.312 0.312 0.500
0.688 0.688 0.500

***

(5)
Nb6Ru5Rh | Alexandria | PBE-GGA | optimized geometry; SG = C2/m, No. 12; DFT total energy = -9.800 eV/atom; volume = 194 Å³ per cell; ΔE_f = -287 meV per atom; total magnetization = 0.00 μB per atom
1.0
-1.359 -3.230 2.552
-5.185 -1.479 -4.635
7.088 -1.632 -1.973
Nb Rh Ru
6 1 5
Direct
0.528 0.772 0.055
0.158 0.411 0.315
0.472 0.228 0.945
0.842 0.589 0.685
0.182 0.932 0.363
0.818 0.068 0.637
0.000 0.000 0.000
0.664 0.198 0.327
0.336 0.802 0.673
0.668 0.634 0.335
0.000 0.500 0.000
0.332 0.366 0.665

***

(6)
Nb2RuRh5 | Alexandria | PBE-GGA | optimized geometry; SG = Pbam, No. 55; DFT total energy = -8.733 eV/atom; volume = 238 Å³ per cell; ΔE_f = -462 meV per atom; total magnetization = 0.00 μB per atom
1.0
-3.887 0.204 0.004
-0.017 -0.198 -5.524
-0.579 -11.039 0.397
Rh Ru Nb
10 2 4
Direct
0.500 0.251 0.376
0.000 0.498 0.751
0.000 0.002 0.251
0.500 0.751 0.124
0.000 0.502 0.249
0.500 0.249 0.876
0.000 0.000 0.000
0.000 0.998 0.749
0.500 0.749 0.624
0.000 0.500 0.500
0.000 0.500 0.000
0.000 0.000 0.500
0.500 0.745 0.876
0.500 0.255 0.124
0.500 0.245 0.624
0.500 0.755 0.376

***

(7)
Nb3Ru2Rh | Alexandria | PBE-GGA | optimized geometry; SG = P2/m, No. 10; DFT total energy = -9.588 eV/atom; excess energy over the best structure of this formula in the dataset = 15 meV/atom; volume = 194 Å³ per cell; ΔE_f = -236 meV per atom; total magnetization = 0.00 μB per atom
1.0
-3.209 -2.329 -1.440
2.330 -4.262 -4.602
1.242 -4.916 5.182
Ru Rh Nb
4 2 6
Direct
0.666 0.668 0.500
0.334 0.332 0.500
0.000 0.000 0.000
0.000 0.000 0.500
0.330 0.340 0.000
0.670 0.660 0.000
0.500 0.000 0.747
0.834 0.333 0.257
0.500 0.000 0.253
0.166 0.667 0.743
0.166 0.667 0.257
0.834 0.333 0.743

***

(8)
NbRuRh3 | Alexandria | PBE-GGA | optimized geometry; SG = Pm-3m, No. 221; DFT total energy = -6.864 eV/atom; excess energy over the best structure of this formula in the dataset = 584 meV/atom; volume = 98 Å³ per cell; ΔE_f = 1416 meV per atom; total magnetization = 0.00 μB per atom
1.0
4.609 0.000 0.000
0.000 4.609 0.000
0.000 0.000 4.609
Ru Rh Nb
1 3 1
Direct
0.000 0.000 0.000
0.000 0.000 0.500
0.000 0.500 0.000
0.500 0.000 0.000
0.500 0.500 0.500

***

(9)
NbRu2Rh | Alexandria | PBE-GGA | optimized geometry; SG = Fm-3m, No. 225; DFT total energy = -8.897 eV/atom; excess energy over the best structure of this formula in the dataset = 359 meV/atom; volume = 61 Å³ per cell; ΔE_f = 96 meV per atom; total magnetization = 0.00 μB per atom
1.0
0.000 3.123 3.123
3.123 0.000 3.123
3.123 3.123 0.000
Ru Nb Rh
2 1 1
Direct
0.250 0.250 0.250
0.750 0.750 0.750
0.000 0.000 0.000
0.500 0.500 0.500

***

(10)
Nb6RuRh3 | Alexandria | PBE-GGA | optimized geometry; SG = C2/m, No. 12; DFT total energy = -8.792 eV/atom; volume = 205 Å³ per cell; ΔE_f = 382 meV per atom; total magnetization = 0.00 μB per atom
1.0
-1.524 -2.515 5.607
1.212 -6.633 0.997
5.018 -2.454 3.906
Rh Nb Ru
3 6 1
Direct
0.000 0.000 0.000
0.737 0.748 0.748
0.263 0.252 0.252
0.640 0.855 0.356
0.859 0.252 0.252
0.360 0.145 0.644
0.640 0.356 0.855
0.141 0.748 0.748
0.360 0.644 0.145
0.500 0.500 0.500

***

(11)
NbRuRh4 | Alexandria | PBE-GGA | optimized geometry; SG = C2/m, No. 12; DFT total energy = -8.188 eV/atom; volume = 184 Å³ per cell; ΔE_f = -62 meV per atom; total magnetization = 0.00 μB per atom
1.0
5.156 -1.094 0.000
-1.453 5.032 0.000
0.000 0.000 7.545
Rh Nb Ru
8 2 2
Direct
0.254 0.998 0.939
0.254 0.498 0.061
0.746 0.002 0.439
0.746 0.502 0.939
0.254 0.498 0.439
0.746 0.502 0.561
0.254 0.998 0.561
0.746 0.002 0.061
0.000 0.250 0.750
0.000 0.750 0.250
0.500 0.750 0.750
0.500 0.250 0.250

***

(12)
NbRuRh3 | Alexandria | PBE-GGA | optimized geometry; SG = Pm-3m, No. 221; DFT total energy = -6.913 eV/atom; excess energy over the best structure of this formula in the dataset = 536 meV/atom; volume = 101 Å³ per cell; ΔE_f = 1367 meV per atom; total magnetization = 0.62 μB per atom
1.0
4.665 0.000 0.000
0.000 4.665 0.000
0.000 0.000 4.665
Rh Ru Nb
3 1 1
Direct
0.000 0.500 0.000
0.000 0.000 0.500
0.500 0.000 0.000
0.500 0.500 0.500
0.000 0.000 0.000

***

(13)
NbRu3Rh | Alexandria | PBE-GGA | optimized geometry; SG = Pm-3m, No. 221; DFT total energy = -7.308 eV/atom; excess energy over the best structure of this formula in the dataset = 649 meV/atom; volume = 100 Å³ per cell; ΔE_f = 1742 meV per atom; total magnetization = 0.70 μB per atom
1.0
-2.148 2.892 2.938
2.043 -2.131 3.591
3.581 2.950 -0.286
Ru Rh Nb
3 1 1
Direct
0.500 0.000 0.000
0.000 0.000 0.500
0.000 0.500 0.000
0.500 0.500 0.500
0.000 0.000 0.000

***

(14)
SmNbRuRh | Alexandria | PBE-GGA | optimized geometry; SG = F-43m, No. 216; DFT total energy = -8.081 eV/atom; volume = 74 Å³ per cell; ΔE_f = -227 meV per atom; total magnetization = 0.00 μB per atom
1.0
-0.607 -3.387 3.206
0.267 -4.519 -1.275
3.657 -2.619 1.375
Nb Sm Ru Rh
1 1 1 1
Direct
0.500 0.500 0.500
0.000 0.000 0.000
0.750 0.750 0.750
0.250 0.250 0.250

***

(15)
TaNbRuRh | Alexandria | PBE-GGA | optimized geometry; SG = I-4m2, No. 119; DFT total energy = -9.962 eV/atom; volume = 64 Å³ per cell; ΔE_f = -325 meV per atom; total magnetization = 0.00 μB per atom
1.0
-2.922 0.541 -2.925
-2.961 -0.127 2.934
3.200 3.457 0.415
Ru Nb Ta Rh
1 1 1 1
Direct
0.000 0.000 0.000
0.750 0.250 0.500
0.250 0.750 0.500
0.500 0.500 0.000

***

(16)
TaNbRu2Rh4 | Alexandria | PBE-GGA | optimized geometry; SG = I-42m, No. 121; DFT total energy = -8.375 eV/atom; volume = 130 Å³ per cell; ΔE_f = 360 meV per atom; total magnetization = 0.00 μB per atom
1.0
5.410 0.812 1.171
-1.893 5.133 -1.171
-1.893 -2.893 4.398
Rh Nb Ru Ta
4 1 2 1
Direct
0.000 0.197 0.695
0.000 0.695 0.197
0.498 0.803 0.803
0.502 0.305 0.305
0.000 0.000 0.000
0.500 0.750 0.250
0.500 0.250 0.750
0.000 0.500 0.500

***

(17)
NbTe2RuRh | Alexandria | PBE-GGA | optimized geometry; SG = P4/mmm, No. 123; DFT total energy = -5.387 eV/atom; volume = 131 Å³ per cell; total magnetization = 0.09 μB per atom; formation energy (no corrections) = 1.21 eV per atom
1.0
5.302 0.000 0.000
0.000 4.649 0.000
0.000 0.000 5.302
Nb Te Ru Rh
1 2 1 1
Direct
0.000 0.000 0.000
0.500 0.000 0.000
0.000 0.000 0.500
0.000 0.500 0.000
0.500 0.500 0.500

***

(18)
NbVRuRh | Alexandria | PBE-GGA | optimized geometry; SG = F-43m, No. 216; DFT total energy = -9.120 eV/atom; volume = 61 Å³ per cell; ΔE_f = -166 meV per atom; total magnetization = 0.59 μB per atom
1.0
-1.470 4.140 0.485
-4.297 0.750 0.714
-1.369 1.410 3.959
Rh V Ru Nb
1 1 1 1
Direct
0.000 0.000 0.000
0.250 0.250 0.250
0.500 0.500 0.500
0.750 0.750 0.750

***

(19)
YNbRuRh | Alexandria | PBE-GGA | optimized geometry; SG = F-43m, No. 216; DFT total energy = -8.633 eV/atom; volume = 72 Å³ per cell; ΔE_f = -342 meV per atom; total magnetization = 0.00 μB per atom
1.0
4.661 0.000 0.000
2.330 4.036 0.000
2.330 1.345 3.806
Rh Ru Nb Y
1 1 1 1
Direct
0.250 0.250 0.250
0.750 0.750 0.750
0.500 0.500 0.500
0.000 0.000 0.000

***

(20)
ZrNbRuRh2 | Alexandria | PBE-GGA | optimized geometry; SG = P4/mmm, No. 123; DFT total energy = -7.276 eV/atom; volume = 108 Å³ per cell; ΔE_f = 1243 meV per atom; total magnetization = 0.29 μB per atom
1.0
-0.085 0.008 -4.608
1.208 -4.940 -0.031
-4.477 -1.095 0.081
Rh Zr Nb Ru
2 1 1 1
Direct
0.500 0.000 0.000
0.000 0.000 0.500
0.000 0.500 0.000
0.000 0.000 0.000
0.500 0.500 0.500

***

(21)
NbRh2S4 | Alexandria | PBE-GGA | optimized geometry; SG = Cmcm, No. 63; DFT total energy = -6.374 eV/atom; volume = 227 Å³ per cell; total magnetization = 0.00 μB per atom; formation energy (no corrections) = -0.48 eV per atom
1.0
3.359 0.000 0.000
-1.679 5.795 0.000
0.000 0.000 11.688
S Rh Nb
8 4 2
Direct
0.782 0.564 0.108
0.782 0.564 0.392
0.500 0.000 0.000
0.218 0.436 0.608
0.218 0.436 0.892
0.978 0.956 0.750
0.500 0.000 0.500
0.022 0.044 0.250
0.867 0.734 0.918
0.133 0.266 0.418
0.867 0.734 0.582
0.133 0.266 0.082
0.642 0.285 0.750
0.358 0.715 0.250

***

(22)
Nb2RhS6 | Alexandria | PBE-GGA | optimized geometry; SG = P4_2/mnm, No. 136; DFT total energy = -6.483 eV/atom; volume = 358 Å³ per cell; total magnetization = 0.00 μB per atom; formation energy (no corrections) = -0.68 eV per atom
1.0
-1.814 -3.744 4.054
5.500 -0.878 1.650
-0.822 7.941 6.965
Nb S Rh
4 12 2
Direct
0.000 0.000 0.348
0.500 0.500 0.848
0.000 0.000 0.652
0.500 0.500 0.152
0.786 0.214 0.500
0.307 0.307 0.331
0.693 0.693 0.331
0.807 0.193 0.831
0.214 0.786 0.500
0.193 0.807 0.169
0.193 0.807 0.831
0.693 0.693 0.669
0.714 0.714 0.000
0.807 0.193 0.169
0.286 0.286 0.000
0.307 0.307 0.669
0.000 0.000 0.000
0.500 0.500 0.500

***

(23)
NbRh2S | Alexandria | PBE-GGA | optimized geometry; SG = I-42d, No. 122; DFT total energy = -7.160 eV/atom; volume = 164 Å³ per cell; total magnetization = 0.00 μB per atom; formation energy (no corrections) = 0.07 eV per atom
1.0
-0.460 1.656 5.173
-5.377 0.596 -0.669
-3.697 -4.101 3.856
S Rh Nb
2 4 2
Direct
0.500 0.500 0.000
0.250 0.750 0.500
0.375 0.412 0.750
0.162 0.625 0.250
0.588 0.125 0.250
0.875 0.838 0.750
0.000 0.000 0.000
0.750 0.250 0.500